# PBE-GGA Cs2HgS2, relaxed
# * uncorrected formation energy: -2.4 eV/f.u.
data_Cs2HgS2
_chemical_formula_sum 'Cs4 Hg2 S4'
_symmetry_space_group_name_H-M 'P 4/m b m'
_symmetry_Int_Tables_number 127
_symmetry_space_group_name_Hall '-P 4 2ab'
_cell_length_a 7.9391
_cell_length_b 7.9391
_cell_length_c 5.3895
_cell_angle_alpha 90.00
_cell_angle_beta 90.00
_cell_angle_gamma 90.00
loop_
_atom_site_label
_atom_site_fract_x
_atom_site_fract_y
_atom_site_fract_z
Cs1 0.1533 0.3467 0.0000
Hg1 0.0000 0.0000 0.5000
S1 0.1745 0.6745 0.5000

# PBE-GGA Cs2HgS2, relaxed
# * uncorrected formation energy: -4.2 eV/f.u.
data_Cs2HgS2
_chemical_formula_sum 'Cs8 Hg4 S8'
_symmetry_space_group_name_H-M 'P n m a'
_symmetry_Int_Tables_number 62
_symmetry_space_group_name_Hall '-P 2ac 2n'
_cell_length_a 9.5872
_cell_length_b 7.0481
_cell_length_c 13.9075
_cell_angle_alpha 90.00
_cell_angle_beta 90.00
_cell_angle_gamma 90.00
loop_
_atom_site_label
_atom_site_fract_x
_atom_site_fract_y
_atom_site_fract_z
Cs1 0.0375 0.2500 0.2144
Cs2 0.1526 0.2500 0.5927
Hg1 0.1840 0.2500 0.9453
S1 0.0141 0.2500 0.8260
S2 0.1526 0.7500 0.5709

The records above give, respectively, distance to the lowest polymorph of the same formula values of 376 0 meV/atom.